# 1
Material: TiPtN2
Method: DFT, PBE-GGA
State: optimized geometry

Output
polymorph energy (0 for the lowest one)	3.59	eV/f.u.
energy relative to the elements, uncorrected	0.47	eV/atom
total moment	0.000	μB/atom
symmetry	Fm-3m (225)

Structure (POSCAR):
```
TiPtN2
1.0
0.000 2.740 2.740
2.740 0.000 2.740
2.740 2.740 0.000
N Ti Pt
2 1 1
direct
0.250 0.250 0.250
0.750 0.750 0.750
0.000 0.000 0.000
0.500 0.500 0.500
```

---

# 2
Material: Ti8Pt2N
Method: DFT, PBE-GGA
State: optimized geometry

Output
energy relative to the elements, uncorrected	-0.55	eV/atom
total moment	0.000	μB/atom
symmetry	C2/m (12)

Structure (POSCAR):
```
Ti8Pt2N
1.0
-1.865 -3.863 1.680
4.974 -2.233 0.386
-0.377 5.224 5.278
Ti N Pt
8 1 2
direct
0.415 0.599 0.830
0.208 0.264 0.416
0.993 0.241 0.986
0.585 0.401 0.170
0.629 0.938 0.258
0.007 0.759 0.014
0.792 0.736 0.584
0.371 0.062 0.742
0.500 0.000 0.000
0.185 0.704 0.370
0.815 0.296 0.630
```

---

# 3
Material: Ti8PtN2
Method: DFT, PBE-GGA
State: optimized geometry

Output
energy relative to the elements, uncorrected	-0.46	eV/atom
total moment	0.000	μB/atom
symmetry	C2/m (12)

Structure (POSCAR):
```
Ti8PtN2
1.0
5.867 0.527 0.399
0.795 6.128 1.202
0.795 2.808 5.578
Ti N Pt
8 2 1
direct
0.286 0.834 0.344
0.338 0.809 0.809
0.714 0.166 0.656
0.164 0.381 0.381
0.714 0.656 0.166
0.286 0.344 0.834
0.836 0.619 0.619
0.662 0.191 0.191
0.668 0.790 0.790
0.332 0.210 0.210
0.000 0.000 0.000
```